{
  "formula": "Sc5W",
  "functional": "PBE-GGA",
  "state": "relaxed",
  "spacegroup": "F-43m",
  "e_above_lowest_polymorph_ev_per_atom": 0.4575,
  "magmom_total_mub_per_fu": 1.34,
  "delta_e_f_ev_per_atom": 0.610,
  "lattice_angstrom": [[0.000, 4.038, 4.038], [4.038, 0.000, 4.038], [4.038, 4.038, 0.000]],
  "species": ["Sc", "Sc", "Sc", "W", "Sc", "Sc"],
  "frac_coords": [[0.627, 0.627, 0.118], [0.118, 0.627, 0.627], [0.627, 0.627, 0.627], [0.000, 0.000, 0.000], [0.250, 0.250, 0.250], [0.627, 0.118, 0.627]]
}



{
  "formula": "ScW",
  "functional": "PBE-GGA",
  "state": "relaxed",
  "spacegroup": "P4/m",
  "e_above_lowest_polymorph_ev_per_atom": 0.4075,
  "magmom_total_mub_per_fu": 0.00,
  "delta_e_f_ev_per_atom": 0.499,
  "lattice_angstrom": [[-4.877, 6.074, 3.415], [-0.896, -4.680, 7.045], [3.692, 1.966, 1.776]],
  "species": ["Sc", "Sc", "Sc", "W", "Sc", "Sc", "Sc", "W", "W", "W", "Sc", "W", "W", "Sc", "W", "W"],
  "frac_coords": [[0.151, 0.219, 0.500], [0.951, 0.332, 0.000], [0.849, 0.781, 0.500], [0.829, 0.477, 0.500], [0.049, 0.668, 0.000], [0.668, 0.951, 0.000], [0.332, 0.049, 0.000], [0.301, 0.404, 0.000], [0.477, 0.171, 0.500], [0.699, 0.596, 0.000], [0.781, 0.151, 0.500], [0.596, 0.301, 0.000], [0.171, 0.523, 0.500], [0.219, 0.849, 0.500], [0.523, 0.829, 0.500], [0.404, 0.699, 0.000]]
}



Please write out number 2 again, unchanged.
{
  "formula": "ScW",
  "functional": "PBE-GGA",
  "state": "relaxed",
  "spacegroup": "P4/m",
  "e_above_lowest_polymorph_ev_per_atom": 0.4075,
  "magmom_total_mub_per_fu": 0.00,
  "delta_e_f_ev_per_atom": 0.499,
  "lattice_angstrom": [[-4.877, 6.074, 3.415], [-0.896, -4.680, 7.045], [3.692, 1.966, 1.776]],
  "species": ["Sc", "Sc", "Sc", "W", "Sc", "Sc", "Sc", "W", "W", "W", "Sc", "W", "W", "Sc", "W", "W"],
  "frac_coords": [[0.151, 0.219, 0.500], [0.951, 0.332, 0.000], [0.849, 0.781, 0.500], [0.829, 0.477, 0.500], [0.049, 0.668, 0.000], [0.668, 0.951, 0.000], [0.332, 0.049, 0.000], [0.301, 0.404, 0.000], [0.477, 0.171, 0.500], [0.699, 0.596, 0.000], [0.781, 0.151, 0.500], [0.596, 0.301, 0.000], [0.171, 0.523, 0.500], [0.219, 0.849, 0.500], [0.523, 0.829, 0.500], [0.404, 0.699, 0.000]]
}